Record 1
ZrNbV2As | Alexandria via LeMat-Bulk | PBE | optimized geometry; symmetry = P4/mmm; ΔE_f = 8.24 eV/f.u.; total energy = -33.27 eV/cell; V = 106.4 Å³ per cell; N(E_F) = 0.92 states/eV/atom
1.0
4.595 0.000 0.000
0.000 4.595 0.000
0.000 0.000 5.041
Zr Nb V As
1 1 2 1
direct
0.000 0.000 0.000
0.000 0.000 0.500
0.000 0.500 0.000
0.500 0.000 0.000
0.500 0.500 0.500



Record 2
NbAsW | Alexandria via LeMat-Bulk | PBE | optimized geometry; symmetry = Cm; ΔE_f = -0.13 eV/f.u.; total energy = -55.60 eV/cell; V = 101.5 Å³ per cell; N(E_F) = 0.56 states/eV/atom
1.0
6.747 -1.646 0.000
6.747 1.646 0.000
-0.223 0.000 4.568
Nb As W
2 2 2
direct
0.000 0.000 0.000
0.167 0.167 0.610
0.344 0.344 0.889
0.658 0.658 0.128
0.496 0.496 0.496
0.837 0.837 0.427



Record 3
NbAsW | Alexandria via LeMat-Bulk | PBE | optimized geometry; symmetry = Cm; ΔE_f = -0.13 eV/f.u.; total energy = -55.61 eV/cell; V = 105.1 Å³ per cell; N(E_F) = 0.42 states/eV/atom
1.0
4.664 -1.665 0.000
4.664 1.665 0.000
-1.030 0.000 6.768
Nb As W
2 2 2
direct
0.000 0.000 0.000
0.542 0.542 0.659
0.276 0.276 0.792
0.928 0.928 0.379
0.210 0.210 0.400
0.718 0.718 0.080



Record 4
NbAsW | Alexandria via LeMat-Bulk | PBE | optimized geometry; symmetry = P-6m2; ΔE_f = -0.02 eV/f.u.; total energy = -55.39 eV/cell; V = 103.8 Å³ per cell; N(E_F) = 0.51 states/eV/atom
1.0
3.244 0.000 0.000
-1.622 2.809 0.000
0.000 0.000 11.386
Nb As W
2 2 2
direct
0.000 0.000 0.176
0.000 0.000 0.824
0.667 0.333 0.347
0.667 0.333 0.653
0.000 0.000 0.500
0.667 0.333 0.000



Record 5
NbAs2W2 | Alexandria via LeMat-Bulk | PBE | optimized geometry; symmetry = P4/mbm; ΔE_f = 1.02 eV/f.u.; total energy = -88.51 eV/cell; V = 163.3 Å³ per cell; N(E_F) = 0.91 states/eV/atom
1.0
7.148 0.000 0.000
0.000 7.148 0.000
0.000 0.000 3.196
Nb As W
2 4 4
direct
0.000 0.000 0.000
0.500 0.500 0.000
0.156 0.344 0.000
0.344 0.844 0.000
0.656 0.156 0.000
0.844 0.656 0.000
0.139 0.639 0.500
0.361 0.139 0.500
0.639 0.861 0.500
0.861 0.361 0.500



Record 6
NbAs3W | Alexandria via LeMat-Bulk | PBE | optimized geometry; symmetry = Pm-3m; ΔE_f = 4.70 eV/f.u.; total energy = -32.27 eV/cell; V = 115.6 Å³ per cell; N(E_F) = 0.81 states/eV/atom
1.0
4.871 0.000 0.000
0.000 4.871 0.000
0.000 0.000 4.871
Nb As W
1 3 1
direct
0.000 0.000 0.000
0.000 0.500 0.500
0.500 0.000 0.500
0.500 0.500 0.000
0.500 0.500 0.500



Record 7
NbAsW | Alexandria via LeMat-Bulk | PBE | optimized geometry; symmetry = Cm; ΔE_f = -0.23 eV/f.u.; total energy = -55.80 eV/cell; V = 100.3 Å³ per cell; N(E_F) = 0.63 states/eV/atom
1.0
4.822 -1.675 0.000
4.822 1.675 0.000
-1.564 0.000 6.207
Nb As W
2 2 2
direct
0.000 0.000 0.000
0.638 0.638 0.352
0.054 0.054 0.604
0.326 0.326 0.200
0.354 0.354 0.637
0.707 0.707 0.881



Record 8
Nb2As2W | Alexandria via LeMat-Bulk | PBE | optimized geometry; symmetry = P4/mbm; ΔE_f = -0.67 eV/f.u.; total energy = -86.13 eV/cell; V = 166.7 Å³ per cell; N(E_F) = 0.85 states/eV/atom
1.0
6.962 0.000 0.000
0.000 6.962 0.000
0.000 0.000 3.438
Nb As W
4 4 2
direct
0.151 0.349 0.000
0.349 0.849 0.000
0.651 0.151 0.000
0.849 0.651 0.000
0.150 0.650 0.500
0.350 0.150 0.500
0.650 0.850 0.500
0.850 0.350 0.500
0.000 0.000 0.500
0.500 0.500 0.500



What is the formula in the eighth record?
Nb2As2W



What is the formula in the sixth record?
NbAs3W